The following is a DFT calculation (PBE-GGA) of a geometry-optimized TaTe3As structure.

abc: 5.2789 5.2789 5.2789
angles: 90.00 90.00 90.00
Fractional coordinates of all 5 atoms:
Ta: 0.0000 0.0000 0.0000
Te: 0.0000 0.5000 0.5000
Te: 0.5000 0.0000 0.5000
Te: 0.5000 0.5000 0.0000
As: 0.5000 0.5000 0.5000

Output
**ΔE to the lowest computed polymorph**: 55.61 kJ per mole of atoms
**D(E_F)**: 0.8205 states/eV per atom
**SG**: Pm-3m (221)



The following is a DFT calculation (PBE-GGA) of a geometry-optimized BeBOs2 structure.

abc: 5.5217 5.5217 5.5217
angles: 90.00 90.00 90.00
Fractional coordinates of all 16 atoms:
Be: 0.0000 0.0000 0.0000
Be: 0.0000 0.5000 0.5000
Be: 0.5000 0.0000 0.5000
Be: 0.5000 0.5000 0.0000
B: 0.0000 0.0000 0.5000
B: 0.0000 0.5000 0.0000
B: 0.5000 0.0000 0.0000
B: 0.5000 0.5000 0.5000
Os: 0.2500 0.2500 0.2500
Os: 0.2500 0.2500 0.7500
Os: 0.2500 0.7500 0.2500
Os: 0.2500 0.7500 0.7500
Os: 0.7500 0.2500 0.2500
Os: 0.7500 0.2500 0.7500
Os: 0.7500 0.7500 0.2500
Os: 0.7500 0.7500 0.7500

Output
**ΔE to the lowest computed polymorph**: 0.00 kJ per mole of atoms
**D(E_F)**: 0.6709 states/eV per atom
**SG**: Fm-3m (225)
**Energy of formation**: 108 meV per atom



The following is a DFT calculation (PBE-GGA) of a geometry-optimized BaAsAu structure.

abc: 4.7703 9.1045 8.0266
angles: 90.00 90.00 90.00
Fractional coordinates of all 12 atoms:
Ba: 0.0000 0.0000 0.0000
Ba: 0.0000 0.5000 0.0000
Ba: 0.5000 0.0000 0.5000
Ba: 0.5000 0.5000 0.5000
As: 0.0000 0.2500 0.3230
As: 0.0000 0.7500 0.6770
As: 0.5000 0.2500 0.1770
As: 0.5000 0.7500 0.8230
Au: 0.0000 0.2500 0.6536
Au: 0.0000 0.7500 0.3464
Au: 0.5000 0.2500 0.8464
Au: 0.5000 0.7500 0.1536

Output
**D(E_F)**: 0.0895 states/eV per atom
**SG**: Imma (74)
**Energy of formation**: -805 meV per atom



The following is a DFT calculation (PBE-GGA) of a geometry-optimized Li2CoBiAs structure.

abc: 4.7256 4.7256 4.3472
angles: 90.00 90.00 90.00
Fractional coordinates of all 5 atoms:
Li: 0.0000 0.5000 0.0000
Li: 0.5000 0.0000 0.0000
Co: 0.0000 0.0000 0.5000
Bi: 0.5000 0.5000 0.5000
As: 0.0000 0.0000 0.0000

Output
**D(E_F)**: 0.6660 states/eV per atom
**SG**: P4/mmm (123)
**Energy of formation**: -36 meV per atom



The following is a DFT calculation (PBE-GGA) of a geometry-optimized NaGa12Ag4 structure.

abc: 7.8602 7.8602 7.8602
angles: 109.47 109.47 109.47
Fractional coordinates of all 17 atoms:
Na: 0.0000 0.0000 0.0000
Ga: 0.1460 0.5011 0.3551
Ga: 0.1460 0.7909 0.6449
Ga: 0.2091 0.3551 0.8540
Ga: 0.3551 0.1460 0.5011
Ga: 0.3551 0.8540 0.2091
Ga: 0.4989 0.6449 0.8540
Ga: 0.5011 0.3551 0.1460
Ga: 0.6449 0.1460 0.7909
Ga: 0.6449 0.8540 0.4989
Ga: 0.7909 0.6449 0.1460
Ga: 0.8540 0.2091 0.3551
Ga: 0.8540 0.4989 0.6449
Ag: 0.0000 0.0000 0.5000
Ag: 0.0000 0.5000 0.0000
Ag: 0.5000 0.0000 0.0000
Ag: 0.5000 0.5000 0.5000

Output
**D(E_F)**: 0.6294 states/eV per atom
**SG**: Im-3 (204)
**Energy of formation**: 108 meV per atom



The following is a DFT calculation (PBE-GGA) of a geometry-optimized GdYRh4 structure.

abc: 5.3537 5.3537 5.3537
angles: 60.00 60.00 60.00
Fractional coordinates of all 6 atoms:
Gd: 0.0000 0.0000 0.0000
Y: 0.2500 0.2500 0.2500
Rh: 0.1252 0.6249 0.6249
Rh: 0.6249 0.1252 0.6249
Rh: 0.6249 0.6249 0.1252
Rh: 0.6249 0.6249 0.6249

Output
**D(E_F)**: 0.7188 states/eV per atom
**SG**: F-43m (216)
**Energy of formation**: -723 meV per atom



The following is a DFT calculation (PBE-GGA) of a geometry-optimized Cs2CaN structure.

abc: 13.3822 13.3822 4.5908
angles: 90.00 90.00 90.00
Fractional coordinates of all 16 atoms:
Cs: 0.0579 0.2500 0.1250
Cs: 0.2500 0.5579 0.3750
Cs: 0.2500 0.9421 0.8750
Cs: 0.4421 0.2500 0.6250
Cs: 0.5579 0.7500 0.6250
Cs: 0.7500 0.0579 0.8750
Cs: 0.7500 0.4421 0.3750
Cs: 0.9421 0.7500 0.1250
Ca: 0.0000 0.0000 0.5000
Ca: 0.0000 0.5000 0.7500
Ca: 0.5000 0.0000 0.2500
Ca: 0.5000 0.5000 0.0000
N: 0.0000 0.0000 0.0000
N: 0.0000 0.5000 0.2500
N: 0.5000 0.0000 0.7500
N: 0.5000 0.5000 0.5000

Output
**ΔE to the lowest computed polymorph**: 0.00 kJ per mole of atoms
**D(E_F)**: 0.8758 states/eV per atom
**SG**: I-42d (122)



The following is a DFT calculation (PBE-GGA) of a geometry-optimized NbV6Mo structure.

abc: 5.4357 5.4357 5.4357
angles: 110.58 110.58 110.58
Fractional coordinates of all 8 atoms:
Nb: 0.0000 0.0000 0.0000
V: 0.2522 0.2522 0.7475
V: 0.2522 0.7475 0.2522
V: 0.2525 0.7478 0.7478
V: 0.7475 0.2522 0.2522
V: 0.7478 0.2525 0.7478
V: 0.7478 0.7478 0.2525
Mo: 0.5000 0.5000 0.5000

Output
**ΔE to the lowest computed polymorph**: 19.91 kJ per mole of atoms
**D(E_F)**: 1.4801 states/eV per atom
**SG**: R-3m (166)
**Energy of formation**: 201 meV per atom